The following is a DFT calculation (PBE) of a relaxed CrGePPd2 crystal.

## Properties
Electronic total energy   -4.955 eV per atom

Lattice parameters (Å, degrees): 4.591 4.713 4.591 90.00 90.00 90.00
Fractional coordinates of all 5 atoms:
Ge 0.000 0.000 0.000
Cr 0.500 0.500 0.500
P 0.000 0.500 0.000
Pd 0.000 0.000 0.500
Pd 0.500 0.000 0.000

---

The following is a DFT calculation (PBE) of a relaxed BaTeC3 crystal.

## Properties
Formation energy from raw total energies   3.492 eV per atom
Electronic total energy   -3.055 eV per atom
Distance to the lowest polymorph of the same formula   1.426 eV/atom

Lattice parameters (Å, degrees): 4.899 4.899 4.899 90.00 90.00 90.00
Last column: magnetic moment on the atom in μB.
Fractional coordinates of all 5 atoms:
C 0.000 0.500 0.000  0.58
C 0.500 0.000 0.000  0.43
C 0.000 0.000 0.500  0.48
Te 0.500 0.500 0.500  -0.25
Ba 0.000 0.000 0.000  0.06

---

The following is a DFT calculation (PBE) of a relaxed HoCd4In crystal.

## Properties
Electronic total energy   -2.023 eV per atom
Distance to the lowest polymorph of the same formula   0.000 eV/atom

Lattice parameters (Å, degrees): 4.979 6.438 9.517 70.23 90.00 90.01
Fractional coordinates of all 12 atoms:
Cd 0.750 0.042 0.918
Cd 0.250 0.958 0.082
Cd 0.250 0.459 0.082
Cd 0.750 0.214 0.586
Cd 0.250 0.786 0.414
Cd 0.250 0.300 0.414
Cd 0.750 0.541 0.918
Cd 0.750 0.700 0.586
In 0.750 0.118 0.263
In 0.250 0.882 0.737
Ho 0.250 0.379 0.743
Ho 0.750 0.621 0.257

---

Number 1: ρ 6.159 g cm⁻³. Number 2: ρ 4.251 g cm⁻³. Number 3: ρ 8.438 g cm⁻³.